# NaCdI2O8

An optimized crystal structure of NaCdI2O8 (PBE, Alexandria).

As for the formation energy from raw total energies: -443 meV per atom. The crystal system is tetragonal.

It has space group I-4m2 (No. 119), with a = 7.509 Å, b = 7.509 Å, c = 6.846 Å, α = 90.00°, β = 90.00° and γ = 90.00°. The asymmetric unit holds Na at (0.000, 0.000, 0.000), Cd at (0.000, 0.500, 0.250), I at (0.000, 0.000, 0.500), I at (0.000, 0.500, 0.750), O at (0.000, 0.193, 0.330) and O at (0.000, 0.315, 0.918).

# Cd2CuAs

An optimized crystal structure of Cd2CuAs (PBE, Alexandria).

The formation energy is 0.1418 eV per atom. The crystal system is tetragonal.

It has space group P4mm (No. 99), with a = 3.504 Å, b = 3.504 Å, c = 6.625 Å, α = 90.00°, β = 90.00° and γ = 90.00°. The asymmetric unit holds Cd at (0.000, 0.000, 0.000), Cd at (0.500, 0.500, 0.263), Cu at (0.000, 0.000, 0.587) and As at (0.500, 0.500, 0.676).

# La2MnAsN

An optimized crystal structure of La2MnAsN (PBE, Alexandria).

As for the formation energy from raw total energies: -938 meV per atom. The crystal system is tetragonal.

It has space group P4/mmm (No. 123), with a = 5.212 Å, b = 5.212 Å, c = 3.896 Å, α = 90.00°, β = 90.00° and γ = 90.00°. The asymmetric unit holds La at (0.000, 0.500, 0.000), Mn at (0.000, 0.000, 0.500), As at (0.500, 0.500, 0.500) and N at (0.000, 0.000, 0.000).

# LiAlHgF6

An optimized crystal structure of LiAlHgF6 (PBE, Alexandria).

As for the formation energy from raw total energies: -2694 meV per atom. The crystal system is tetragonal.

It has space group P4_2nm (No. 102), with a = 4.879 Å, b = 4.879 Å, c = 9.567 Å, α = 90.00°, β = 90.00° and γ = 90.00°. The asymmetric unit holds Li at (0.000, 0.000, 0.000), Al at (0.000, 0.000, 0.664), Hg at (0.000, 0.000, 0.328), F at (0.170, 0.170, 0.813), F at (0.193, 0.193, 0.532) and F at (0.234, 0.234, 0.153).

# Rh2AuCl

An optimized crystal structure of Rh2AuCl (PBE, Alexandria).

As for the formation energy from raw total energies: 638 meV per atom. Its distance to the lowest polymorph of the same formula is 1.77 eV/f.u. The crystal system is tetragonal.

It has space group I-42d (No. 122), with a = 4.590 Å, b = 4.590 Å, c = 15.071 Å, α = 90.00°, β = 90.00° and γ = 90.00°. The asymmetric unit holds Rh at (0.138, 0.250, 0.125), Au at (0.000, 0.000, 0.500) and Cl at (0.000, 0.000, 0.000).

# BCSCl2

An optimized crystal structure of BCSCl2 (PBE, Alexandria).

As for the formation energy from raw total energies: 1758 meV per atom. Its distance to the lowest polymorph of the same formula is 0.00 eV/f.u. The crystal system is tetragonal.

It has space group P4/mmm (No. 123), with a = 5.058 Å, b = 5.058 Å, c = 3.635 Å, α = 90.00°, β = 90.00° and γ = 90.00°. The asymmetric unit holds B at (0.000, 0.000, 0.000), C at (0.500, 0.500, 0.500), S at (0.500, 0.500, 0.000) and Cl at (0.000, 0.500, 0.500).

# TeWBr2

An optimized crystal structure of TeWBr2 (PBE, Alexandria).

As for the formation energy from raw total energies: 272 meV per atom. Its distance to the lowest polymorph of the same formula is 1.30 eV/f.u. The crystal system is tetragonal.

It has space group P4mm (No. 99), with a = 3.216 Å, b = 3.216 Å, c = 9.570 Å, α = 90.00°, β = 90.00° and γ = 90.00°. The asymmetric unit holds Te at (0.000, 0.000, 0.000), W at (0.500, 0.500, 0.177), Br at (0.000, 0.000, 0.351) and Br at (0.500, 0.500, 0.678).

# SmPuSc2

An optimized crystal structure of SmPuSc2 (PBE, Alexandria).

Its distance to the lowest polymorph of the same formula is 0.00 eV/f.u. The formation energy is 0.1069 eV per atom. The crystal system is tetragonal.

It has space group P4/mmm (No. 123), with a = 3.382 Å, b = 3.382 Å, c = 9.413 Å, α = 90.00°, β = 90.00° and γ = 90.00°. The asymmetric unit holds Sm at (0.000, 0.000, 0.000), Pu at (0.000, 0.000, 0.500) and Sc at (0.500, 0.500, 0.262).

Per-record calculated density, kg/m³: 4450 7417 6615 5083 9168 2246 7904 7471